Material: Sr2PaHg
Method: DFT, PBE
State: optimized geometry

Results
- Calculated formation energy: 0.446 eV per atom
- SG: No. 166

Lattice parameters (Å, degrees): 3.5182 3.5182 37.1176 90.00 90.00 120.00
Positions (direct):
Sr  0.0000  0.0000  0.0941
Sr  0.0000  0.0000  0.9059
Sr  0.3333  0.6667  0.5726
Sr  0.3333  0.6667  0.7607
Sr  0.6667  0.3333  0.2393
Sr  0.6667  0.3333  0.4274
Pa  0.0000  0.0000  0.0000
Pa  0.3333  0.6667  0.6667
Pa  0.6667  0.3333  0.3333
Hg  0.0000  0.0000  0.5000
Hg  0.3333  0.6667  0.1667
Hg  0.6667  0.3333  0.8333

=====

Material: PaTaHg
Method: DFT, PBE
State: optimized geometry

Results
- Calculated formation energy: 0.402 eV per atom
- SG: No. 69

Lattice parameters (Å, degrees): 6.8812 5.6596 5.6221 75.17 52.66 52.17
Positions (direct):
Pa  0.1405  0.8595  0.1405
Pa  0.8595  0.1405  0.8595
Ta  0.2500  0.2500  0.2500
Ta  0.7500  0.7500  0.7500
Hg  0.3454  0.3454  0.6546
Hg  0.6546  0.6546  0.3454

=====

Material: TbPaHg2
Method: DFT, PBE
State: optimized geometry

Results
- Calculated formation energy: -0.154 eV per atom
- SG: No. 123

Lattice parameters (Å, degrees): 3.3388 3.3388 8.9253 90.00 90.00 90.00
Positions (direct):
Tb  0.0000  0.0000  0.0000
Pa  0.0000  0.0000  0.5000
Hg  0.5000  0.5000  0.2454
Hg  0.5000  0.5000  0.7546

=====

Material: Tb2PaHg
Method: DFT, PBE
State: optimized geometry

Results
- Calculated formation energy: -0.138 eV per atom
- SG: No. 123

Lattice parameters (Å, degrees): 3.4721 3.4721 8.9301 90.00 90.00 90.00
Positions (direct):
Tb  0.0000  0.0000  0.2365
Tb  0.0000  0.0000  0.7635
Pa  0.5000  0.5000  0.5000
Hg  0.5000  0.5000  0.0000

=====

Density of states at the Fermi level across the listed records, respectively: 1.75, 1.16, 1.45, 0.98 states/eV/atom.
Calculated total energy across the listed records, respectively: -2.8439, -6.8150, -3.8369, -4.9025 eV per atom.